Density functional theory data (PBE) for crystalline Ho3GaTe4 at its relaxed geometry.

- Total magnetization: 0.210 μB per cell
- ΔE_f (raw): -0.9199 eV/atom
- Fermi-level density of states: 7.42 states/eV per cell

a b c (Å): 6.134 9.747 9.161
angles (deg): 90.00 90.00 90.00
Space group Pmmn (No. 59, origin choice 2)
Unique sites:
Ho (0.250, 0.051, 0.156) x4
Ho (0.250, 0.250, 0.764) x2
Ga (0.250, 0.750, 0.588) x2
Te (0.250, 0.250, 0.418) x2
Te (0.250, 0.550, 0.841) x4
Te (0.250, 0.750, 0.249) x2